First-principles (PBE) data for crystalline ZnSb2Os at its relaxed geometry, as listed in the Alexandria database.

The density of states at the Fermi level is 3.328 states/eV/f.u. The crystal system is orthorhombic. The value obtained for the uncorrected formation energy is 0.511 eV per atom.

It has space group Cmm2 (No. 35), with a = 3.201 Å, b = 5.246 Å, c = 10.164 Å, α = 90.00°, β = 90.00° and γ = 90.00°. The inequivalent atoms are Zn at (0.000, 0.000, 0.000), Sb at (0.000, 0.000, 0.411), Sb at (0.000, 0.500, 0.759) and Os at (0.000, 0.500, 0.199).

=====

First-principles (PBE) data for crystalline TlZnGa2 at its relaxed geometry, as listed in the Alexandria database.

The calculation puts the energy relative to the lowest polymorph listed for this composition at 70 meV/atom. The density of states at the Fermi level is 1.655 states/eV/f.u. The crystal system is trigonal.

It has space group R-3m (No. 166, hexagonal axes), with a = 3.1480 Å, b = 3.1480 Å, c = 30.2817 Å, α = 90.00°, β = 90.00° and γ = 120.00°. The inequivalent atoms are Tl at (0.0000, 0.0000, 0.0000), Zn at (0.0000, 0.0000, 0.5000) and Ga at (0.0000, 0.0000, 0.0974).

=====

First-principles (PBE) data for crystalline Nd2SmSe3 at its relaxed geometry, as listed in the Alexandria database.

The calculation puts the energy relative to the lowest polymorph listed for this composition at 12 meV/atom. The density of states at the Fermi level is 3.034 states/eV/f.u. The crystal system is hexagonal. The value obtained for the uncorrected formation energy is -1.818 eV per atom.

It has space group P6_3/mmc (No. 194), with a = 4.1583 Å, b = 4.1583 Å, c = 21.2165 Å, α = 90.00°, β = 90.00° and γ = 120.00°. The inequivalent atoms are Nd at (0.3333, 0.6667, 0.0828), Sm at (0.0000, 0.0000, 0.2500), Se at (0.0000, 0.0000, 0.0000) and Se at (0.3333, 0.6667, 0.6668).

=====

First-principles (PBE) data for crystalline SrLiSn2 at its relaxed geometry, as listed in the Alexandria database.

The density of states at the Fermi level is 1.459 states/eV/f.u. The crystal system is trigonal. Its electronic total energy is -3.3708 eV per atom.

It has space group R-3m (No. 166, hexagonal axes), with a = 4.6669 Å, b = 4.6669 Å, c = 17.8741 Å, α = 90.00°, β = 90.00° and γ = 120.00°. The inequivalent atoms are Sr at (0.0000, 0.0000, 0.0000), Li at (0.0000, 0.0000, 0.5000) and Sn at (0.0000, 0.0000, 0.2144).

=====

no.,theoretical density (g cm⁻³)
1,9.71
2,7.84
3,7.06
4,4.91